Li3Ti2CrO6 | PBE+U | relaxed

a b c (Å): 6.7202 6.7202 5.9857
angles (deg): 104.30 104.30 25.29
Positions (direct):
1 Li 0.0000 0.0000 0.0000
2 Li 0.3373 0.3373 0.6605
3 Li 0.6627 0.6627 0.3395
4 Ti 0.3280 0.3280 0.1544
5 Ti 0.6720 0.6720 0.8456
6 Cr 0.0000 0.0000 0.5000
7 O 0.1609 0.1609 0.5985
8 O 0.1657 0.1657 0.0820
9 O 0.4927 0.4927 0.2634
10 O 0.5073 0.5073 0.7366
11 O 0.8343 0.8343 0.9180
12 O 0.8391 0.8391 0.4015

## Properties
N(E_F)   3.5 states/eV/f.u.
Symmetry   C2/m (12)
Final energy   -7.310 eV/atom